# 1
{"formula": "LiTl3Cl", "functional": "PBE-GGA", "state": "optimized geometry", "lattice": [[5.2792, 0.0000, 0.0000], [0.0000, 5.2792, 0.0000], [0.0000, 0.0000, 5.2792]], "species": ["Cl", "Li", "Tl", "Tl", "Tl"], "fractional_positions": [[0.5000, 0.5000, 0.5000], [0.0000, 0.0000, 0.0000], [0.5000, 0.0000, 0.0000], [0.0000, 0.5000, 0.0000], [0.0000, 0.0000, 0.5000]], "mass_density_g_cm3": 7.4, "de_polymorph_mev_per_atom": 0}


# 2
{"formula": "LiTlCl2", "functional": "PBE-GGA", "state": "optimized geometry", "lattice": [[-5.6141, -1.1415, -5.0399], [-4.4066, -4.7495, -4.0306], [-6.8975, -2.7841, -1.7013]], "species": ["Cl", "Cl", "Li", "Tl"], "fractional_positions": [[0.0192, 0.0192, 0.0192], [0.8141, 0.8141, 0.8141], [0.4173, 0.4173, 0.4173], [0.2494, 0.2494, 0.2495]], "mass_density_g_cm3": 4.8, "de_polymorph_mev_per_atom": 56}


# 3
{"formula": "LiTmTl2Cl6", "functional": "PBE-GGA", "state": "optimized geometry", "lattice": [[-5.1546, 4.9887, 1.0319], [-1.8504, -0.4435, -7.0990], [-6.7664, -7.4220, 2.2274]], "species": ["Cl", "Cl", "Cl", "Cl", "Cl", "Cl", "Cl", "Cl", "Cl", "Cl", "Cl", "Cl", "Tl", "Tl", "Tl", "Tl", "Li", "Li", "Tm", "Tm"], "fractional_positions": [[0.2145, 0.2122, 0.4691], [0.7145, 0.2878, 0.9691], [0.5600, 0.0091, 0.2500], [0.2112, 0.2153, 0.0304], [0.7112, 0.2847, 0.5304], [0.9400, 0.5091, 0.2500], [0.0600, 0.4909, 0.7500], [0.2888, 0.7153, 0.4696], [0.4400, 0.9909, 0.7500], [0.7888, 0.7847, 0.9696], [0.2855, 0.7122, 0.0309], [0.7855, 0.7878, 0.5309], [0.9910, 0.0459, 0.7487], [0.4910, 0.4541, 0.2487], [0.0090, 0.9541, 0.2513], [0.5090, 0.5459, 0.7513], [0.5000, 0.0000, 0.0000], [0.0000, 0.5000, 0.5000], [0.5000, 0.0000, 0.5000], [0.0000, 0.5000, 0.0000]], "mass_density_g_cm3": 4.8, "total_energy_ev_per_atom": -3.92}


# 4
{"formula": "LiTmTlCl5", "functional": "PBE-GGA", "state": "optimized geometry", "lattice": [[7.4604, -0.0103, -0.0724], [-2.1876, 7.1324, -0.0724], [-2.2755, -3.0736, 9.1616]], "species": ["Tl", "Tl", "Cl", "Cl", "Cl", "Cl", "Cl", "Cl", "Cl", "Cl", "Cl", "Cl", "Tm", "Tm", "Li", "Li"], "fractional_positions": [[0.6518, 0.3482, 0.7500], [0.3482, 0.6518, 0.2500], [0.0939, 0.6985, 0.8945], [0.3684, 0.2392, 0.0775], [0.9272, 0.0728, 0.7500], [0.3015, 0.9061, 0.6055], [0.7608, 0.6316, 0.4225], [0.6316, 0.7608, 0.9225], [0.0728, 0.9272, 0.2500], [0.9061, 0.3015, 0.1055], [0.6985, 0.0939, 0.3945], [0.2392, 0.3684, 0.5775], [0.0000, 0.0000, 0.0000], [0.0000, 0.0000, 0.5000], [0.3086, 0.6914, 0.7500], [0.6914, 0.3086, 0.2500]], "mass_density_g_cm3": 3.8, "total_energy_ev_per_atom": -4.11}